1.
DFT (PBE-GGA) results for an optimized crystal structure of RbNpBe2Br8.

Calculated values
Space-group type = R-3
Formation energy (no corrections) = -1.21 eV/atom

Cell and atoms, written as extended XYZ:
```
12
Lattice="6.653 0.000 0.000 3.326 5.762 0.000 3.326 1.921 10.566" Properties=species:S:1:pos:R:3 pbc="T T T"
Br 7.672 1.835 8.790
Br 9.979 5.762 5.907
Br 4.406 3.961 8.790
Br 3.326 1.921 4.659
Br 7.880 5.727 8.790
Br 5.634 5.847 1.777
Br 8.900 3.721 1.777
Br 5.426 1.956 1.777
Be 9.979 5.762 8.018
Be 3.326 1.921 2.548
Rb 6.653 3.841 5.283
Np 0.000 0.000 0.000
```


2.
DFT (PBE-GGA) results for an optimized crystal structure of VCdRh3.

Calculated values
Excess energy over the best structure of this formula in the dataset = 1238.2 meV per atom
Space-group type = Pm-3m
Formation energy from the elements = 1.70 eV/atom

Cell and atoms, written as extended XYZ:
```
5
Lattice="-0.344 4.004 -2.652 -3.093 1.849 3.193 3.673 1.932 2.440" Properties=species:S:1:pos:R:3 pbc="T T T"
Rh -1.546 0.925 1.596
Rh 1.837 0.966 1.220
Rh -0.172 2.002 -1.326
Cd 0.000 0.000 0.000
V 0.118 3.892 1.490
```


3.
DFT (PBE-GGA) results for an optimized crystal structure of Tb2Nd3Ge4.

Calculated values
Space-group type = P2_1/c
Formation energy from the elements = -0.84 eV/atom

Cell and atoms, written as extended XYZ:
```
18
Lattice="-6.653 -1.887 -3.562 7.939 -3.069 -2.682 -0.802 -6.298 4.834" Properties=species:S:1:pos:R:3 pbc="T T T"
Tb 2.234 -7.459 -0.585
Tb 1.712 -1.784 0.137
Tb -1.750 -3.795 -0.825
Tb -1.228 -9.470 -1.546
Ge 2.439 -7.238 2.486
Ge 1.173 -4.633 -0.916
Ge -1.059 -0.983 -0.936
Ge -0.689 -6.621 -0.493
Ge 1.544 -10.271 -0.473
Ge 5.208 -6.676 -0.727
Ge -4.723 -4.578 -0.682
Ge -1.954 -4.016 -3.895
Nd 3.760 -4.307 -2.593
Nd 3.568 -4.684 1.076
Nd 0.324 -6.110 -3.714
Nd 0.160 -5.144 2.305
Nd 0.643 -2.478 -3.122
Nd -3.276 -6.948 1.184
```


4.
DFT (PBE-GGA) results for an optimized crystal structure of Tm2HfBi2N2.

Calculated values
Space-group type = I4/mmm
Formation energy (no corrections) = -1.00 eV/atom

Cell and atoms, written as extended XYZ:
```
7
Lattice="4.186 0.000 0.000 0.000 4.186 0.000 -2.093 -2.093 8.337" Properties=species:S:1:pos:R:3 pbc="T T T"
Bi 0.000 0.000 3.152
Bi 2.093 2.093 5.185
Hf 0.000 0.000 0.000
Tm 2.093 2.093 1.547
Tm 0.000 0.000 6.790
N 0.000 2.093 0.000
N 2.093 0.000 0.000
```


5.
DFT (PBE-GGA) results for an optimized crystal structure of Er3VB7.

Calculated values
Space-group type = Cmcm
Formation energy from the elements = -0.66 eV/atom

Cell and atoms, written as extended XYZ:
```
22
Lattice="3.408 0.000 0.000 -1.704 7.889 0.000 0.000 0.000 9.362" Properties=species:S:1:pos:R:3 pbc="T T T"
B 0.000 4.309 0.300
B 0.000 7.568 3.799
B 1.704 0.322 8.480
B 0.000 7.208 7.022
B 0.000 5.798 1.396
B 1.704 0.322 5.564
B 0.000 5.798 3.285
B 1.704 3.581 9.062
B 0.000 7.568 0.882
B 0.000 4.309 4.381
B 1.704 3.581 4.981
B 1.704 0.682 2.341
B 1.704 2.092 7.966
B 1.704 2.092 6.077
Er 0.000 1.676 0.555
Er 1.704 6.213 5.237
Er 0.000 1.676 4.126
Er 1.704 4.056 2.341
Er 1.704 6.213 8.807
Er 0.000 3.833 7.022
V 1.704 7.057 2.341
V 0.000 0.832 7.022
```


6.
DFT (PBE-GGA) results for an optimized crystal structure of Dy2Tm6Mg.

Calculated values
Excess energy over the best structure of this formula in the dataset = 0.0 meV per atom
Space-group type = P4_2/mnm
Formation energy from the elements = 0.03 eV/atom

Cell and atoms, written as extended XYZ:
```
18
Lattice="4.957 0.000 0.206 0.000 10.377 0.000 -0.430 0.000 10.369" Properties=species:S:1:pos:R:3 pbc="T T T"
Tm -0.358 0.002 8.650
Tm 2.192 1.740 7.026
Tm -0.071 3.449 1.739
Tm 2.335 5.187 3.569
Tm 4.886 10.376 1.924
Tm 2.192 5.190 7.006
Tm 4.742 6.909 5.388
Tm 2.479 1.720 0.105
Tm 2.049 8.657 10.469
Tm -0.214 3.469 5.186
Tm 2.335 8.638 3.549
Tm 4.599 6.928 8.836
Dy -0.358 3.464 8.645
Dy 4.885 6.913 1.929
Dy 2.192 8.653 7.010
Dy 2.335 1.725 3.564
Mg -0.215 0.000 5.184
Mg 2.478 5.189 0.103
```


7.
DFT (PBE-GGA) results for an optimized crystal structure of Ho6Tl5Cd.

Calculated values
Excess energy over the best structure of this formula in the dataset = 89.6 meV per atom
Space-group type = C2/m
Formation energy from the elements = -0.24 eV/atom

Cell and atoms, written as extended XYZ:
```
12
Lattice="9.789 -0.689 0.000 1.867 6.159 0.000 0.933 3.079 5.598" Properties=species:S:1:pos:R:3 pbc="T T T"
Tl 5.828 2.735 3.715
Tl 0.933 3.079 1.858
Tl 6.762 5.814 1.883
Tl 1.867 6.159 3.740
Tl 5.828 2.735 0.000
Ho 8.753 4.115 0.000
Ho 3.831 4.460 1.856
Ho 8.759 4.089 3.741
Ho 7.825 1.009 1.856
Ho 4.764 7.540 3.741
Ho 2.904 1.354 0.000
Cd 0.000 0.000 0.000
```


8.
DFT (PBE-GGA) results for an optimized crystal structure of Er2Mg2Co15.

Calculated values
Space-group type = R-3m
Formation energy from the elements = -0.08 eV/atom

Cell and atoms, written as extended XYZ:
```
19
Lattice="-5.248 3.507 0.480 -3.862 -4.023 -2.995 -2.306 -2.815 5.179" Properties=species:S:1:pos:R:3 pbc="T T T"
Co -2.762 -3.169 2.782
Co -1.153 -1.408 2.590
Co -6.601 0.539 1.177
Co -4.385 1.653 1.858
Co -5.161 -2.554 3.476
Co -5.493 -0.186 3.189
Co -3.406 -3.669 -0.598
Co -1.931 -2.011 -1.497
Co -2.624 1.753 0.240
Co -4.841 1.299 -0.539
Co -4.815 -3.870 1.488
Co -4.268 -1.815 -1.976
Co -6.254 -0.777 -0.811
Co -3.169 -0.961 3.801
Co -5.923 -3.145 -0.524
Er -4.029 -1.176 0.941
Er -7.386 -2.155 1.724
Mg -1.209 -0.353 0.282
Mg -10.207 -2.978 2.382
```


9.
DFT (PBE-GGA) results for an optimized crystal structure of Hf2ScTlRe.

Calculated values
Space-group type = P4/mmm
Formation energy from the elements = 1.83 eV/atom

Cell and atoms, written as extended XYZ:
```
5
Lattice="5.174 0.000 0.000 0.000 5.025 0.000 0.000 0.000 5.174" Properties=species:S:1:pos:R:3 pbc="T T T"
Hf 0.000 0.000 2.587
Hf 2.587 0.000 0.000
Tl 0.000 0.000 0.000
Re 2.587 2.512 2.587
Sc 0.000 2.512 0.000
```


10.
DFT (PBE-GGA) results for an optimized crystal structure of Ag2HgIr.

Calculated values
Space-group type = C2/m
Formation energy from the elements = 0.33 eV/atom

Cell and atoms, written as extended XYZ:
```
4
Lattice="5.164 -0.001 0.009 4.304 2.854 0.009 0.957 0.288 4.808" Properties=species:S:1:pos:R:3 pbc="T T T"
Ag 5.158 1.554 2.462
Ag 1.011 0.305 4.759
Ir 7.819 2.356 3.619
Hg 2.606 0.785 1.206
```


11.
DFT (PBE-GGA) results for an optimized crystal structure of MnCd2B.

Calculated values
Space-group type = I-42d
Formation energy from the elements = 0.63 eV/atom

Cell and atoms, written as extended XYZ:
```
8
Lattice="-8.198 -1.219 1.356 0.147 -6.669 -5.103 -3.573 -5.178 -0.247" Properties=species:S:1:pos:R:3 pbc="T T T"
Mn 0.000 0.000 0.000
Mn -7.898 -5.170 -0.382
Cd -4.976 -2.738 -0.021
Cd -5.681 -7.673 -2.227
Cd -2.848 -5.767 -2.912
Cd -9.743 -9.953 -2.827
B -4.026 -3.944 -1.873
B -3.726 -7.895 -3.612
```


12.
DFT (PBE-GGA) results for an optimized crystal structure of Ca2Pd2Se.

Calculated values
Excess energy over the best structure of this formula in the dataset = 0.0 meV per atom
Space-group type = I4/mmm
Formation energy (no corrections) = -0.96 eV/atom

Cell and atoms, written as extended XYZ:
```
5
Lattice="-2.554 2.027 1.930 -2.642 -2.608 -0.756 -0.655 -4.192 7.255" Properties=species:S:1:pos:R:3 pbc="T T T"
Pd -2.903 -1.228 4.886
Pd -2.947 -3.545 3.543
Ca -3.668 -3.649 6.417
Ca -2.183 -1.124 2.012
Se 0.000 0.000 0.000
```


13.
DFT (PBE-GGA) results for an optimized crystal structure of ZnCrPb2.

Calculated values
Space-group type = Cm
Formation energy from the elements = 0.37 eV/atom

Cell and atoms, written as extended XYZ:
```
4
Lattice="-1.475 3.229 5.484 -3.321 0.475 5.605 2.112 -1.206 4.760" Properties=species:S:1:pos:R:3 pbc="T T T"
Pb -2.067 1.923 12.173
Pb -2.614 2.437 15.528
Cr -0.374 0.429 4.033
Zn -1.654 1.457 7.889
```


14.
DFT (PBE-GGA) results for an optimized crystal structure of CsNa2Pt.

Calculated values
Excess energy over the best structure of this formula in the dataset = 52.9 meV per atom
Space-group type = I-42d
Formation energy from the elements = 0.17 eV/atom

Cell and atoms, written as extended XYZ:
```
8
Lattice="-4.860 -1.532 -1.958 1.661 -5.200 -0.053 -5.001 -4.547 8.362" Properties=species:S:1:pos:R:3 pbc="T T T"
Pt -5.730 -4.723 2.699
Pt 0.000 0.000 0.000
Cs -2.470 -6.557 3.652
Cs -1.600 -3.366 -1.005
Na -5.192 -5.178 5.525
Na -4.972 -5.888 0.140
Na -7.969 -4.858 4.557
Na -4.788 -2.968 0.575
```


15.
DFT (PBE-GGA) results for an optimized crystal structure of ZnTc8.

Calculated values
Space-group type = I4/mmm
Formation energy from the elements = 0.07 eV/atom

Cell and atoms, written as extended XYZ:
```
9
Lattice="-2.487 -1.074 2.805 3.134 -2.905 4.376 2.127 5.582 1.314" Properties=species:S:1:pos:R:3 pbc="T T T"
Tc 0.245 -1.342 2.413
Tc -0.943 1.178 2.326
Tc 1.954 -0.401 4.289
Tc 0.821 2.003 4.206
Tc 0.584 3.330 1.793
Tc 0.403 -2.638 4.768
Tc 1.778 0.905 1.923
Tc 3.484 1.772 3.768
Zn 0.000 0.000 0.000
```


16.
DFT (PBE-GGA) results for an optimized crystal structure of Nd6Y2Ho3In.

Calculated values
Space-group type = C2/m
Formation energy from the elements = -0.04 eV/atom

Cell and atoms, written as extended XYZ:
```
12
Lattice="-5.670 0.628 2.449 0.766 -3.087 -5.331 3.126 -9.080 6.922" Properties=species:S:1:pos:R:3 pbc="T T T"
Ho 1.250 -7.004 -0.565
Ho -3.027 -4.535 4.605
Ho -0.889 -5.769 2.020
Nd -0.296 -9.278 1.754
Nd -2.927 -4.134 -0.448
Nd 0.623 -3.475 -0.258
Nd 1.150 -7.405 4.487
Nd -2.400 -8.063 4.297
Nd -1.481 -2.260 2.286
Y -1.381 -1.848 -2.736
Y -3.523 -0.611 -0.146
In 0.000 0.000 0.000
```


17.
DFT (PBE-GGA) results for an optimized crystal structure of Cs2KHgPt.

Calculated values
Excess energy over the best structure of this formula in the dataset = 35.7 meV per atom
Space-group type = P4/mmm
Formation energy from the elements = 0.00 eV/atom

Cell and atoms, written as extended XYZ:
```
5
Lattice="-5.271 -1.844 -3.668 3.888 -0.325 -5.424 1.225 -5.958 1.235" Properties=species:S:1:pos:R:3 pbc="T T T"
Pt 0.000 0.000 0.000
Cs -2.636 -0.922 -1.834
Cs 1.944 -0.162 -2.712
K 0.612 -2.979 0.617
Hg -0.079 -4.063 -3.929
```


18.
DFT (PBE-GGA) results for an optimized crystal structure of CaLa5Se6.

Calculated values
Space-group type = C2/m
Formation energy (no corrections) = -1.99 eV/atom

Cell and atoms, written as extended XYZ:
```
12
Lattice="-3.745 0.523 -6.415 3.070 -4.527 -5.045 -2.380 -7.033 -0.626" Properties=species:S:1:pos:R:3 pbc="T T T"
Se 0.126 -4.847 -4.766
Se -0.175 -0.973 -2.808
Se -3.353 -2.267 -5.458
Se -0.500 -3.031 -8.653
Se -3.180 -6.190 -7.320
Se 0.298 -8.770 -6.628
La -2.933 -5.164 -4.472
La 0.458 -7.709 -3.780
La -0.337 -2.002 -5.730
La 0.233 -3.850 -1.892
La -0.121 -5.872 -7.614
Ca 0.000 0.000 0.000
```


19.
DFT (PBE-GGA) results for an optimized crystal structure of NiRuPt.

Calculated values
Excess energy over the best structure of this formula in the dataset = 20.5 meV per atom
Space-group type = Imm2
Formation energy from the elements = 0.03 eV/atom

Cell and atoms, written as extended XYZ:
```
3
Lattice="4.621 -0.001 -0.004 2.310 4.002 0.004 -3.108 -2.620 2.198" Properties=species:S:1:pos:R:3 pbc="T T T"
Ru 4.587 2.648 0.000
Ni 0.028 0.016 0.000
Pt 2.316 1.337 0.000
```


20.
DFT (PBE-GGA) results for an optimized crystal structure of Sb2MoRh.

Calculated values
Space-group type = P4mm
Formation energy (no corrections) = 0.02 eV/atom

Cell and atoms, written as extended XYZ:
```
4
Lattice="-1.137 2.190 -2.711 1.312 -2.373 -2.467 -4.986 -2.680 -0.074" Properties=species:S:1:pos:R:3 pbc="T T T"
Sb -1.380 -0.881 -2.611
Sb -4.721 -2.538 -0.070
Mo -2.292 -1.232 -0.034
Rh -3.895 -2.233 -2.648
```


| no. | total magnetic moment (μB per atom) |
| --- | --- |
| 1 | 0.33 |
| 2 | 0.11 |
| 3 | 0.00 |
| 4 | 0.00 |
| 5 | 0.00 |
| 6 | 0.00 |
| 7 | 0.00 |
| 8 | 1.07 |
| 9 | 0.00 |
| 10 | 0.05 |
| 11 | 0.80 |
| 12 | 0.00 |
| 13 | 0.98 |
| 14 | 0.00 |
| 15 | 0.00 |
| 16 | 0.00 |
| 17 | 0.14 |
| 18 | 0.00 |
| 19 | 0.00 |
| 20 | 0.09 |